# 1
Ti2GeCF: relaxed, PBE-GGA.

Output
Its uncorrected formation energy is 0.970 eV/atom. As for the crystal system: tetragonal.

```
data_Ti2GeCF
_space_group_name_H-M_alt 'P 4/m m m'
_space_group_IT_number 123
_space_group_name_Hall '-P 4 2'
_cell_length_a 4.7883
_cell_length_b 4.7883
_cell_length_c 3.8484
_cell_angle_alpha 90.00
_cell_angle_beta 90.00
_cell_angle_gamma 90.00
loop_
_atom_site_label
_atom_site_fract_x
_atom_site_fract_y
_atom_site_fract_z
Ti1 0.0000 0.5000 0.0000
Ge1 0.0000 0.0000 0.0000
C1 0.5000 0.5000 0.5000
F1 0.0000 0.0000 0.5000
```

# 2
Hf2ZrNp: relaxed, PBE-GGA.

Output
The energy above the most stable polymorph in this dataset is 0.000 eV/atom. As for the crystal system: tetragonal.

```
data_Hf2ZrNp
_space_group_name_H-M_alt 'P 4/m m m'
_space_group_IT_number 123
_space_group_name_Hall '-P 4 2'
_cell_length_a 3.1298
_cell_length_b 3.1298
_cell_length_c 9.2322
_cell_angle_alpha 90.00
_cell_angle_beta 90.00
_cell_angle_gamma 90.00
loop_
_atom_site_label
_atom_site_fract_x
_atom_site_fract_y
_atom_site_fract_z
Hf1 0.0000 0.0000 0.2499
Zr1 0.5000 0.5000 0.0000
Np1 0.5000 0.5000 0.5000
```

# 3
K2BaMnCl8: relaxed, PBE-GGA.

Output
Its uncorrected formation energy is -1.594 eV/atom. As for the crystal system: monoclinic.

```
data_K2BaMnCl8
_space_group_name_H-M_alt 'P 1 2/m 1'
_space_group_IT_number 10
_cell_length_a 5.8185
_cell_length_b 8.9444
_cell_length_c 7.6256
_cell_angle_alpha 90.00
_cell_angle_beta 109.39
_cell_angle_gamma 90.00
loop_
_space_group_symop_operation_xyz
'x,y,z'
'-x,-y,-z'
'-x,y,-z'
'x,-y,z'
loop_
_atom_site_label
_atom_site_fract_x
_atom_site_fract_y
_atom_site_fract_z
K1 0.0000 0.2377 0.0000
Ba1 0.5000 0.5000 0.5000
Mn1 0.5000 0.0000 0.5000
Cl1 0.0382 0.5000 0.7518
Cl2 0.1043 0.0000 0.3205
Cl3 0.4325 0.1859 0.6903
```

# 4
In12Bi5Se3: relaxed, PBE-GGA.

Output
Its uncorrected formation energy is 0.048 eV/atom. As for the crystal system: cubic.

```
data_In12Bi5Se3
_space_group_name_H-M_alt 'I a -3 d'
_space_group_IT_number 230
_space_group_name_Hall '-I 4bd 2c 3'
_cell_length_a 17.9497
_cell_length_b 17.9497
_cell_length_c 17.9497
_cell_angle_alpha 90.00
_cell_angle_beta 90.00
_cell_angle_gamma 90.00
loop_
_atom_site_label
_atom_site_fract_x
_atom_site_fract_y
_atom_site_fract_z
In1 0.0005 0.0691 0.1600
Bi1 0.0000 0.0000 0.0000
Bi2 0.0000 0.2500 0.3750
Se1 0.0000 0.2500 0.1250
```

# 5
Ac3Pr2Y6: relaxed, PBE-GGA.

Output
As for the crystal system: monoclinic.

```
data_Ac3Pr2Y6
_space_group_name_H-M_alt 'C 1 2/m 1'
_space_group_IT_number 12
_cell_length_a 6.4263
_cell_length_b 11.1426
_cell_length_c 11.8739
_cell_angle_alpha 90.00
_cell_angle_beta 100.42
_cell_angle_gamma 90.00
loop_
_space_group_symop_operation_xyz
'x,y,z'
'-x,-y,-z'
'-x,y,-z'
'x,-y,z'
'x+1/2,y+1/2,z'
'-x+1/2,-y+1/2,-z'
'-x+1/2,y+1/2,-z'
'x+1/2,-y+1/2,z'
loop_
_atom_site_label
_atom_site_fract_x
_atom_site_fract_y
_atom_site_fract_z
Ac1 0.0000 0.0000 0.0000
Ac2 0.0000 0.3349 0.0000
Pr1 0.0000 0.1666 0.5000
Y1 0.2469 0.3344 0.7434
Y2 0.2503 0.0000 0.7436
```

# 6
YIn2Ag: relaxed, PBE-GGA.

Output
As for the crystal system: orthorhombic.

```
data_YIn2Ag
_space_group_name_H-M_alt 'P m m 2'
_space_group_IT_number 25
_cell_length_a 3.6491
_cell_length_b 3.9945
_cell_length_c 6.7201
_cell_angle_alpha 90.00
_cell_angle_beta 90.00
_cell_angle_gamma 90.00
loop_
_space_group_symop_operation_xyz
'x,y,z'
'-x,-y,z'
'-x,y,z'
'x,-y,z'
loop_
_atom_site_label
_atom_site_fract_x
_atom_site_fract_y
_atom_site_fract_z
Y1 0.0000 0.0000 0.0000
In1 0.0000 0.0000 0.4778
In2 0.5000 0.5000 0.7303
Ag1 0.5000 0.5000 0.2487
```

# 7
Ce3Zn2Cd5: relaxed, PBE-GGA.

Output
As for the crystal system: orthorhombic.

```
data_Ce3Zn2Cd5
_space_group_name_H-M_alt 'I b a m'
_space_group_IT_number 72
_space_group_name_Hall '-I 2 2c'
_cell_length_a 12.6018
_cell_length_b 12.6679
_cell_length_c 6.2596
_cell_angle_alpha 90.00
_cell_angle_beta 90.00
_cell_angle_gamma 90.00
loop_
_atom_site_label
_atom_site_fract_x
_atom_site_fract_y
_atom_site_fract_z
Ce1 0.0000 0.0000 0.2500
Ce2 0.2504 0.1269 0.0000
Zn1 0.1495 0.1367 0.5000
Cd1 0.0000 0.2503 0.2500
Cd2 0.0000 0.5000 0.2500
Cd3 0.1464 0.3772 0.0000
```

# 8
Rb2NaNCl6: relaxed, PBE-GGA.

Output
Its uncorrected formation energy is -0.634 eV/atom. As for the crystal system: tetragonal.

```
data_Rb2NaNCl6
_space_group_name_H-M_alt 'I 4/m m m'
_space_group_IT_number 139
_space_group_name_Hall '-I 4 2'
_cell_length_a 7.3441
_cell_length_b 7.3441
_cell_length_c 9.0939
_cell_angle_alpha 90.00
_cell_angle_beta 90.00
_cell_angle_gamma 90.00
loop_
_atom_site_label
_atom_site_fract_x
_atom_site_fract_y
_atom_site_fract_z
Rb1 0.0000 0.5000 0.2500
Na1 0.0000 0.0000 0.0000
N1 0.0000 0.0000 0.5000
Cl1 0.0000 0.0000 0.2657
Cl2 0.2203 0.2203 0.5000
```

# 9
CdMo2I: relaxed, PBE-GGA.

Output
Its uncorrected formation energy is 1.049 eV/atom. The energy above the most stable polymorph in this dataset is 0.000 eV/atom. As for the crystal system: cubic.

```
data_CdMo2I
_space_group_name_H-M_alt 'F m -3 m'
_space_group_IT_number 225
_space_group_name_Hall '-F 4 2 3'
_cell_length_a 6.6429
_cell_length_b 6.6429
_cell_length_c 6.6429
_cell_angle_alpha 90.00
_cell_angle_beta 90.00
_cell_angle_gamma 90.00
loop_
_atom_site_label
_atom_site_fract_x
_atom_site_fract_y
_atom_site_fract_z
Cd1 0.0000 0.0000 0.0000
Mo1 0.2500 0.2500 0.2500
I1 0.0000 0.0000 0.5000
```

Taking the records one at a time from the top gives total energy values of -5.33; -10.13; -3.93; -3.09; -5.30; -3.91; -2.57; -2.90; -4.98 eV/atom.